4
Lattice="-0.301 2.968 -0.347 -1.898 1.087 -2.058 -6.508 1.392 4.546" Properties=species:S:1:pos:R:3 comment="CuTcGe2, relaxed, DFT PBE" magmom_total_mub_per_cell=0.0 sg="No. 160" de_polymorph_mev_per_atom=106 pbc="T T T"
Cu -4.304 2.723 1.025
Tc -1.499 2.704 -1.573
Ge -5.112 1.382 3.254
Ge -2.145 1.362 0.505


3
Lattice="-2.368 0.163 1.288 1.865 -1.156 3.575 -0.268 4.063 -1.006" Properties=species:S:1:pos:R:3 comment="CuTcGe, relaxed, DFT PBE" magmom_total_mub_per_cell=0.0 sg="No. 187" de_polymorph_mev_per_atom=27 pbc="T T T"
Ge -0.743 2.405 1.165
Tc -2.367 0.163 1.287
Cu -0.029 0.665 2.691


8
Lattice="-3.968 3.536 -0.260 -1.923 -4.934 0.518 -2.896 -0.108 4.462" Properties=species:S:1:pos:R:3 comment="CuTcGe2, relaxed, DFT PBE" magmom_total_mub_per_cell=0.0 sg="No. 123" de_polymorph_mev_per_atom=121 pbc="T T T"
Cu -3.189 0.508 1.115
Cu -5.599 -2.013 3.606
Tc -2.653 -1.314 3.476
Tc -2.167 -3.727 1.504
Ge -4.639 0.452 3.348
Ge -3.618 -3.780 3.734
Ge -5.170 2.275 0.987
Ge -4.149 -1.957 1.372


5
Lattice="4.801 0.000 0.000 0.000 4.801 0.000 0.000 0.000 4.801" Properties=species:S:1:pos:R:3 comment="CuTcGe3, relaxed, DFT PBE" magmom_total_mub_per_cell=0.0 sg="No. 221" de_polymorph_mev_per_atom=0 pbc="T T T"
Ge 0.000 2.401 0.000
Ge 0.000 0.000 2.401
Ge 2.401 0.000 0.000
Tc 0.000 0.000 0.000
Cu 2.401 2.401 2.401


4
Lattice="2.996 0.000 0.000 1.498 2.594 0.000 1.498 0.865 8.544" Properties=species:S:1:pos:R:3 comment="CuTcGe2, relaxed, DFT PBE" magmom_total_mub_per_cell=0.0 sg="No. 166" de_polymorph_mev_per_atom=79 pbc="T T T"
Ge 1.498 0.865 6.180
Ge 4.493 2.594 2.363
Tc 2.996 1.730 4.272
Cu 0.000 0.000 0.000


10
Lattice="6.353 0.000 0.000 0.000 6.353 0.000 0.000 0.000 3.740" Properties=species:S:1:pos:R:3 comment="Cu2Tc2Ge, relaxed, DFT PBE" magmom_total_mub_per_cell=0.0 sg="No. 127" pbc="T T T"
Ge 0.000 0.000 0.000
Ge 3.176 3.176 0.000
Tc 2.339 5.515 0.000
Tc 5.515 4.014 0.000
Tc 4.014 0.838 0.000
Tc 0.838 2.339 0.000
Cu 1.062 4.239 1.870
Cu 4.239 5.291 1.870
Cu 5.291 2.114 1.870
Cu 2.114 1.062 1.870


12
Lattice="-3.429 0.254 -7.413 1.641 -4.379 -2.022 -2.761 -4.264 0.574" Properties=species:S:1:pos:R:3 comment="CuTc5Ge6, relaxed, DFT PBE" magmom_total_mub_per_cell=0.0 sg="No. 12" pbc="T T T"
Cu 0.000 0.000 0.000
Tc -3.367 -3.495 -3.623
Tc -0.401 -2.897 -0.470
Tc -0.894 -2.062 -4.718
Tc -0.718 -5.746 -0.978
Tc -1.181 -4.894 -5.238
Ge -3.378 -1.707 -5.476
Ge -0.947 -3.888 -2.836
Ge -0.395 -1.130 -2.370
Ge -1.393 -2.995 -7.065
Ge -3.602 -4.501 -6.025
Ge -1.170 -6.682 -3.385


4
Lattice="2.765 0.000 0.000 1.382 2.394 0.000 1.382 0.798 9.246" Properties=species:S:1:pos:R:3 comment="CuTc2Ge, relaxed, DFT PBE" magmom_total_mub_per_cell=0.0 sg="No. 166" pbc="T T T"
Ge 2.765 1.596 4.623
Tc 1.382 0.798 6.676
Tc 4.147 2.394 2.570
Cu 0.000 0.000 0.000


Going through the records in order, we get formation enthalpy at 0 K values of 114 103 129 479 87 308 55 552 meV/atom.